(1)
# PBE Tl2TcSe, optimized geometry
# - E_form (uncorrected) (kJ/mol of formula units) = 255.3
data_Tl2TcSe
_chemical_formula_sum 'Tl2 Tc1 Se1'
_symmetry_space_group_name_H-M 'P 4/m m m'
_symmetry_Int_Tables_number 123
_symmetry_space_group_name_Hall '-P 4 2'
_cell_length_a 3.144
_cell_length_b 3.144
_cell_length_c 9.185
_cell_angle_alpha 90.00
_cell_angle_beta 90.00
_cell_angle_gamma 90.00
loop_
_atom_site_label
_atom_site_type_symbol
_atom_site_fract_x
_atom_site_fract_y
_atom_site_fract_z
Tl1 Tl 0.000 0.000 0.217
Tc1 Tc 0.500 0.500 0.000
Se1 Se 0.500 0.500 0.500

(2)
# PBE CeTlIn2I6, optimized geometry
# - E_form (uncorrected) (kJ/mol of formula units) = -821.6
data_CeTlIn2I6
_chemical_formula_sum 'Ce3 Tl3 In6 I18'
_symmetry_space_group_name_H-M 'R 3'
_symmetry_Int_Tables_number 146
_symmetry_space_group_name_Hall 'R 3'
_cell_length_a 8.6631
_cell_length_b 8.6631
_cell_length_c 22.7325
_cell_angle_alpha 90.00
_cell_angle_beta 90.00
_cell_angle_gamma 120.00
loop_
_atom_site_label
_atom_site_type_symbol
_atom_site_fract_x
_atom_site_fract_y
_atom_site_fract_z
Ce1 Ce 0.0000 0.0000 0.0000
Tl1 Tl 0.0000 0.0000 0.5076
In1 In 0.0000 0.0000 0.3128
In2 In 0.0000 0.0000 0.8043
I1 I 0.0080 0.3801 0.7400
I2 I 0.0492 0.6695 0.5789

(3)
# PBE SmBe2Ir, optimized geometry
# - DFT formation energy (kJ per mole of atoms) = -41.3
data_SmBe2Ir
_chemical_formula_sum 'Sm4 Be8 Ir4'
_symmetry_space_group_name_H-M 'P n m a'
_symmetry_Int_Tables_number 62
_symmetry_space_group_name_Hall '-P 2ac 2n'
_cell_length_a 6.524
_cell_length_b 3.968
_cell_length_c 10.111
_cell_angle_alpha 90.00
_cell_angle_beta 90.00
_cell_angle_gamma 90.00
loop_
_atom_site_label
_atom_site_type_symbol
_atom_site_fract_x
_atom_site_fract_y
_atom_site_fract_z
Sm1 Sm 0.170 0.250 0.128
Be1 Be 0.163 0.250 0.804
Be2 Be 0.180 0.250 0.414
Ir1 Ir 0.017 0.750 0.388

(4)
# PBE TbPr7Y3, optimized geometry
# - DFT formation energy (kJ per mole of atoms) = 21.0
data_TbPr7Y3
_chemical_formula_sum 'Tb2 Pr14 Y6'
_symmetry_space_group_name_H-M 'C 1 2/m 1'
_symmetry_Int_Tables_number 12
_symmetry_space_group_name_Hall '-C 2y'
_cell_length_a 12.947
_cell_length_b 11.502
_cell_length_c 5.976
_cell_angle_alpha 90.00
_cell_angle_beta 117.45
_cell_angle_gamma 90.00
loop_
_atom_site_label
_atom_site_type_symbol
_atom_site_fract_x
_atom_site_fract_y
_atom_site_fract_z
Tb1 Tb 0.000 0.000 0.000
Pr1 Pr 0.000 0.000 0.500
Pr2 Pr 0.193 0.290 0.193
Pr3 Pr 0.211 0.500 0.710
Y1 Y 0.000 0.296 0.500
Y2 Y 0.000 0.500 0.000

(5)
# PBE Ac2HoTe2S2, optimized geometry
# - E_form (uncorrected) (kJ/mol of formula units) = -1163.4
data_Ac2HoTe2S2
_chemical_formula_sum 'Ac4 Ho2 Te4 S4'
_symmetry_space_group_name_H-M 'I 4/m m m'
_symmetry_Int_Tables_number 139
_symmetry_space_group_name_Hall '-I 4 2'
_cell_length_a 5.092
_cell_length_b 5.092
_cell_length_c 16.822
_cell_angle_alpha 90.00
_cell_angle_beta 90.00
_cell_angle_gamma 90.00
loop_
_atom_site_label
_atom_site_type_symbol
_atom_site_fract_x
_atom_site_fract_y
_atom_site_fract_z
Ac1 Ac 0.000 0.000 0.121
Ho1 Ho 0.000 0.000 0.500
Te1 Te 0.000 0.000 0.319
S1 S 0.000 0.500 0.000

(6)
# PBE Tb6PrTh, optimized geometry
# - DFT formation energy (kJ per mole of atoms) = 2.4
data_Tb6PrTh
_chemical_formula_sum 'Tb6 Pr1 Th1'
_symmetry_space_group_name_H-M 'P 4/m m m'
_symmetry_Int_Tables_number 123
_symmetry_space_group_name_Hall '-P 4 2'
_cell_length_a 5.063
_cell_length_b 5.063
_cell_length_c 10.120
_cell_angle_alpha 90.00
_cell_angle_beta 90.00
_cell_angle_gamma 90.00
loop_
_atom_site_label
_atom_site_type_symbol
_atom_site_fract_x
_atom_site_fract_y
_atom_site_fract_z
Tb1 Tb 0.000 0.000 0.000
Tb2 Tb 0.000 0.000 0.500
Tb3 Tb 0.000 0.500 0.245
Pr1 Pr 0.500 0.500 0.500
Th1 Th 0.500 0.500 0.000

(7)
# PBE ZrTl2ZnHg, optimized geometry
# - DFT formation energy (kJ per mole of atoms) = 59.3
data_ZrTl2ZnHg
_chemical_formula_sum 'Zr1 Tl2 Zn1 Hg1'
_symmetry_space_group_name_H-M 'P 4/m m m'
_symmetry_Int_Tables_number 123
_symmetry_space_group_name_Hall '-P 4 2'
_cell_length_a 5.184
_cell_length_b 5.184
_cell_length_c 4.941
_cell_angle_alpha 90.00
_cell_angle_beta 90.00
_cell_angle_gamma 90.00
loop_
_atom_site_label
_atom_site_type_symbol
_atom_site_fract_x
_atom_site_fract_y
_atom_site_fract_z
Zr1 Zr 0.000 0.000 0.000
Tl1 Tl 0.000 0.500 0.500
Zn1 Zn 0.500 0.500 0.500
Hg1 Hg 0.500 0.500 0.000

(8)
# PBE PtAuSe2, optimized geometry
# - E_form (uncorrected) (kJ/mol of formula units) = -66.1
data_PtAuSe2
_chemical_formula_sum 'Pt2 Au2 Se4'
_symmetry_space_group_name_H-M 'P 63/m m c'
_symmetry_Int_Tables_number 194
_symmetry_space_group_name_Hall '-P 6c 2c'
_cell_length_a 3.8753
_cell_length_b 3.8753
_cell_length_c 14.8585
_cell_angle_alpha 90.00
_cell_angle_beta 90.00
_cell_angle_gamma 120.00
loop_
_atom_site_label
_atom_site_type_symbol
_atom_site_fract_x
_atom_site_fract_y
_atom_site_fract_z
Pt1 Pt 0.0000 0.0000 0.0000
Au1 Au 0.3333 0.6667 0.2500
Se1 Se 0.3333 0.6667 0.0847

(9)
# PBE LiMg2P, optimized geometry
# - DFT formation energy (kJ per mole of atoms) = -20.8
data_LiMg2P
_chemical_formula_sum 'Li4 Mg8 P4'
_symmetry_space_group_name_H-M 'I -4 2 d'
_symmetry_Int_Tables_number 122
_symmetry_space_group_name_Hall 'I -4 2bw'
_cell_length_a 8.887
_cell_length_b 8.887
_cell_length_c 4.787
_cell_angle_alpha 90.00
_cell_angle_beta 90.00
_cell_angle_gamma 90.00
loop_
_atom_site_label
_atom_site_type_symbol
_atom_site_fract_x
_atom_site_fract_y
_atom_site_fract_z
Li1 Li 0.000 0.000 0.000
Mg1 Mg 0.131 0.250 0.625
P1 P 0.000 0.000 0.500

(10)
# PBE CaTbCd4, optimized geometry
# - DFT formation energy (kJ per mole of atoms) = -26.0
data_CaTbCd4
_chemical_formula_sum 'Ca4 Tb4 Cd16'
_symmetry_space_group_name_H-M 'F -4 3 m'
_symmetry_Int_Tables_number 216
_symmetry_space_group_name_Hall 'F -4 2 3'
_cell_length_a 8.426
_cell_length_b 8.426
_cell_length_c 8.426
_cell_angle_alpha 90.00
_cell_angle_beta 90.00
_cell_angle_gamma 90.00
loop_
_atom_site_label
_atom_site_type_symbol
_atom_site_fract_x
_atom_site_fract_y
_atom_site_fract_z
Ca1 Ca 0.000 0.000 0.000
Tb1 Tb 0.250 0.250 0.750
Cd1 Cd 0.125 0.125 0.375

(11)
# PBE CaPmRhO4, optimized geometry
# - E_form (uncorrected) (kJ/mol of formula units) = -1510.5
data_CaPmRhO4
_chemical_formula_sum 'Ca4 Pm4 Rh4 O16'
_symmetry_space_group_name_H-M 'I m m a'
_symmetry_Int_Tables_number 74
_symmetry_space_group_name_Hall '-I 2b 2'
_cell_length_a 7.006
_cell_length_b 7.310
_cell_length_c 7.882
_cell_angle_alpha 90.00
_cell_angle_beta 90.00
_cell_angle_gamma 90.00
loop_
_atom_site_label
_atom_site_type_symbol
_atom_site_fract_x
_atom_site_fract_y
_atom_site_fract_z
Ca1 Ca 0.000 0.250 0.082
Pm1 Pm 0.000 0.000 0.500
Rh1 Rh 0.250 0.250 0.750
O1 O 0.000 0.075 0.795
O2 O 0.201 0.250 0.486

(12)
# PBE Ca3VGe, optimized geometry
# - DFT formation energy (kJ per mole of atoms) = 34.5
data_Ca3VGe
_chemical_formula_sum 'Ca3 V1 Ge1'
_symmetry_space_group_name_H-M 'P m -3 m'
_symmetry_Int_Tables_number 221
_symmetry_space_group_name_Hall '-P 4 2 3'
_cell_length_a 5.647
_cell_length_b 5.647
_cell_length_c 5.647
_cell_angle_alpha 90.00
_cell_angle_beta 90.00
_cell_angle_gamma 90.00
loop_
_atom_site_label
_atom_site_type_symbol
_atom_site_fract_x
_atom_site_fract_y
_atom_site_fract_z
Ca1 Ca 0.000 0.000 0.500
V1 V 0.500 0.500 0.500
Ge1 Ge 0.000 0.000 0.000

(13)
# PBE MnTeCl2, optimized geometry
# - E_form (uncorrected) (kJ/mol of formula units) = -170.7
data_MnTeCl2
_chemical_formula_sum 'Mn3 Te3 Cl6'
_symmetry_space_group_name_H-M 'R 3 m'
_symmetry_Int_Tables_number 160
_symmetry_space_group_name_Hall 'R 3 -2"'
_cell_length_a 3.7210
_cell_length_b 3.7210
_cell_length_c 25.0231
_cell_angle_alpha 90.00
_cell_angle_beta 90.00
_cell_angle_gamma 120.00
loop_
_atom_site_label
_atom_site_type_symbol
_atom_site_fract_x
_atom_site_fract_y
_atom_site_fract_z
Mn1 Mn 0.0000 0.0000 0.0000
Te1 Te 0.0000 0.0000 0.7349
Cl1 Cl 0.0000 0.0000 0.2811
Cl2 Cl 0.0000 0.0000 0.4832

(14)
# PBE VCr3Sb, optimized geometry
# - E_form (uncorrected) (kJ/mol of formula units) = 514.2
data_VCr3Sb
_chemical_formula_sum 'V1 Cr3 Sb1'
_symmetry_space_group_name_H-M 'P m -3 m'
_symmetry_Int_Tables_number 221
_symmetry_space_group_name_Hall '-P 4 2 3'
_cell_length_a 4.367
_cell_length_b 4.367
_cell_length_c 4.367
_cell_angle_alpha 90.00
_cell_angle_beta 90.00
_cell_angle_gamma 90.00
loop_
_atom_site_label
_atom_site_type_symbol
_atom_site_fract_x
_atom_site_fract_y
_atom_site_fract_z
V1 V 0.000 0.000 0.000
Cr1 Cr 0.000 0.000 0.500
Sb1 Sb 0.500 0.500 0.500

(15)
# PBE TbHo2Zn2Ge2, optimized geometry
# - DFT formation energy (kJ per mole of atoms) = -42.9
data_TbHo2Zn2Ge2
_chemical_formula_sum 'Tb3 Ho6 Zn6 Ge6'
_symmetry_space_group_name_H-M 'R -3 m'
_symmetry_Int_Tables_number 166
_symmetry_space_group_name_Hall '-R 3 2"'
_cell_length_a 4.1246
_cell_length_b 4.1246
_cell_length_c 33.0946
_cell_angle_alpha 90.00
_cell_angle_beta 90.00
_cell_angle_gamma 120.00
loop_
_atom_site_label
_atom_site_type_symbol
_atom_site_fract_x
_atom_site_fract_y
_atom_site_fract_z
Tb1 Tb 0.0000 0.0000 0.0000
Ho1 Ho 0.0000 0.0000 0.1239
Zn1 Zn 0.0000 0.0000 0.3897
Ge1 Ge 0.0000 0.0000 0.2642

(16)
# PBE AcSmDyGa, optimized geometry
# - DFT formation energy (kJ per mole of atoms) = 3.5
data_AcSmDyGa
_chemical_formula_sum 'Ac4 Sm4 Dy4 Ga4'
_symmetry_space_group_name_H-M 'F -4 3 m'
_symmetry_Int_Tables_number 216
_symmetry_space_group_name_Hall 'F -4 2 3'
_cell_length_a 7.801
_cell_length_b 7.801
_cell_length_c 7.801
_cell_angle_alpha 90.00
_cell_angle_beta 90.00
_cell_angle_gamma 90.00
loop_
_atom_site_label
_atom_site_type_symbol
_atom_site_fract_x
_atom_site_fract_y
_atom_site_fract_z
Ac1 Ac 0.000 0.000 0.000
Sm1 Sm 0.250 0.250 0.750
Dy1 Dy 0.250 0.250 0.250
Ga1 Ga 0.000 0.000 0.500

(17)
# PBE ZnS2O, optimized geometry
# - E_form (uncorrected) (kJ/mol of formula units) = -5.4
data_ZnS2O
_chemical_formula_sum 'Zn3 S6 O3'
_symmetry_space_group_name_H-M 'R -3 m'
_symmetry_Int_Tables_number 166
_symmetry_space_group_name_Hall '-R 3 2"'
_cell_length_a 3.8052
_cell_length_b 3.8052
_cell_length_c 17.4905
_cell_angle_alpha 90.00
_cell_angle_beta 90.00
_cell_angle_gamma 120.00
loop_
_atom_site_label
_atom_site_type_symbol
_atom_site_fract_x
_atom_site_fract_y
_atom_site_fract_z
Zn1 Zn 0.0000 0.0000 0.0000
S1 S 0.0000 0.0000 0.4029
O1 O 0.0000 0.0000 0.5000

(18)
# PBE NdTm5In6, optimized geometry
# - DFT formation energy (kJ per mole of atoms) = -41.9
data_NdTm5In6
_chemical_formula_sum 'Nd2 Tm10 In12'
_symmetry_space_group_name_H-M 'C m m m'
_symmetry_Int_Tables_number 65
_symmetry_space_group_name_Hall '-C 2 2'
_cell_length_a 5.298
_cell_length_b 15.902
_cell_length_c 7.479
_cell_angle_alpha 90.00
_cell_angle_beta 90.00
_cell_angle_gamma 90.00
loop_
_atom_site_label
_atom_site_type_symbol
_atom_site_fract_x
_atom_site_fract_y
_atom_site_fract_z
Nd1 Nd 0.000 0.000 0.000
Tm1 Tm 0.000 0.000 0.500
Tm2 Tm 0.000 0.332 0.000
Tm3 Tm 0.000 0.337 0.500
In1 In 0.000 0.170 0.256
In2 In 0.000 0.500 0.255

(19)
# PBE Sc3FeNi, optimized geometry
# - DFT formation energy (kJ per mole of atoms) = 44.3
data_Sc3FeNi
_chemical_formula_sum 'Sc3 Fe1 Ni1'
_symmetry_space_group_name_H-M 'P m -3 m'
_symmetry_Int_Tables_number 221
_symmetry_space_group_name_Hall '-P 4 2 3'
_cell_length_a 4.736
_cell_length_b 4.736
_cell_length_c 4.736
_cell_angle_alpha 90.00
_cell_angle_beta 90.00
_cell_angle_gamma 90.00
loop_
_atom_site_label
_atom_site_type_symbol
_atom_site_fract_x
_atom_site_fract_y
_atom_site_fract_z
Sc1 Sc 0.000 0.000 0.500
Fe1 Fe 0.500 0.500 0.500
Ni1 Ni 0.000 0.000 0.000

(20)
# PBE MgPd2Se, optimized geometry
# - E_form (uncorrected) (kJ/mol of formula units) = -156.8
data_MgPd2Se
_chemical_formula_sum 'Mg4 Pd8 Se4'
_symmetry_space_group_name_H-M 'I -4 2 d'
_symmetry_Int_Tables_number 122
_symmetry_space_group_name_Hall 'I -4 2bw'
_cell_length_a 3.998
_cell_length_b 3.998
_cell_length_c 17.925
_cell_angle_alpha 90.00
_cell_angle_beta 90.00
_cell_angle_gamma 90.00
loop_
_atom_site_label
_atom_site_type_symbol
_atom_site_fract_x
_atom_site_fract_y
_atom_site_fract_z
Mg1 Mg 0.000 0.000 0.000
Pd1 Pd 0.240 0.250 0.625
Se1 Se 0.000 0.000 0.500

Number 1: volume 90.8 Å³ per cell. Number 2: volume 1477.5 Å³ per cell. Number 3: volume 261.7 Å³ per cell. Number 4: volume 789.8 Å³ per cell. Number 5: volume 436.1 Å³ per cell. Number 6: volume 259.4 Å³ per cell. Number 7: volume 132.8 Å³ per cell. Number 8: volume 193.2 Å³ per cell. Number 9: volume 378.0 Å³ per cell. Number 10: volume 598.1 Å³ per cell. Number 11: volume 403.7 Å³ per cell. Number 12: volume 180.1 Å³ per cell. Number 13: volume 300.1 Å³ per cell. Number 14: volume 83.3 Å³ per cell. Number 15: volume 487.6 Å³ per cell. Number 16: volume 474.8 Å³ per cell. Number 17: volume 219.3 Å³ per cell. Number 18: volume 630.1 Å³ per cell. Number 19: volume 106.2 Å³ per cell. Number 20: volume 286.4 Å³ per cell.